(1)
{
  "formula": "ZnTeAs2",
  "functional": "PBE",
  "state": "relaxed",
  "e_above_lowest_polymorph_mev_per_atom": 117.4,
  "raw_formation_energy_ev_per_atom": 0.0041,
  "total_energy_ev_per_atom": -3.425,
  "lattice": [[3.892, 0.000, 0.000], [0.000, 3.892, 0.000], [0.000, 0.000, 6.202]],
  "species": ["Zn", "Te", "As", "As"],
  "fractional_positions": [[0.000, 0.000, 0.000], [0.500, 0.500, 0.876], [0.000, 0.000, 0.402], [0.500, 0.500, 0.448]]
}

(2)
{
  "formula": "PrTiZn2",
  "functional": "PBE",
  "state": "relaxed",
  "e_above_lowest_polymorph_mev_per_atom": 269.2,
  "delta_e_f_ev_per_atom": 0.11,
  "total_energy_ev_per_atom": -3.696,
  "lattice": [[1.671, 0.965, 8.886], [-1.671, 0.965, 8.886], [0.000, -1.930, 8.886]],
  "species": ["Pr", "Ti", "Zn", "Zn"],
  "fractional_positions": [[0.000, 0.000, 0.000], [0.500, 0.500, 0.500], [0.238, 0.238, 0.238], [0.762, 0.762, 0.762]]
}

(3)
{
  "formula": "B5C7",
  "functional": "PBE",
  "state": "relaxed",
  "e_above_lowest_polymorph_mev_per_atom": 142.6,
  "delta_e_f_ev_per_atom": 0.40,
  "total_energy_ev_per_atom": -7.762,
  "lattice": [[4.579, 0.000, 0.000], [0.000, 2.617, 0.000], [-0.156, 0.000, 6.565]],
  "species": ["B", "B", "B", "B", "B", "C", "C", "C", "C", "C", "C", "C"],
  "fractional_positions": [[0.000, 0.000, 0.000], [0.012, 0.000, 0.730], [0.147, 0.500, 0.297], [0.391, 0.000, 0.614], [0.798, 0.500, 0.607], [0.176, 0.500, 0.025], [0.344, 0.000, 0.373], [0.482, 0.500, 0.729], [0.495, 0.500, 0.962], [0.652, 0.000, 0.283], [0.653, 0.000, 0.045], [0.812, 0.500, 0.364]]
}

(4)
{
  "formula": "Li16Cd7Ag6",
  "functional": "PBE",
  "state": "relaxed",
  "delta_e_f_ev_per_atom": -0.17,
  "total_energy_ev_per_atom": -2.037,
  "lattice": [[0.000, 6.449, 6.449], [6.449, 0.000, 6.449], [6.449, 6.449, 0.000]],
  "species": ["Li", "Li", "Li", "Li", "Li", "Li", "Li", "Li", "Li", "Li", "Li", "Li", "Li", "Li", "Li", "Li", "Cd", "Cd", "Cd", "Cd", "Cd", "Cd", "Cd", "Ag", "Ag", "Ag", "Ag", "Ag", "Ag"],
  "fractional_positions": [[0.113, 0.113, 0.113], [0.113, 0.113, 0.660], [0.113, 0.629, 0.629], [0.113, 0.660, 0.113], [0.340, 0.887, 0.887], [0.371, 0.371, 0.371], [0.371, 0.371, 0.887], [0.371, 0.887, 0.371], [0.629, 0.113, 0.629], [0.629, 0.629, 0.113], [0.629, 0.629, 0.629], [0.660, 0.113, 0.113], [0.887, 0.340, 0.887], [0.887, 0.371, 0.371], [0.887, 0.887, 0.340], [0.887, 0.887, 0.887], [0.000, 0.000, 0.500], [0.000, 0.500, 0.000], [0.000, 0.500, 0.500], [0.500, 0.000, 0.000], [0.500, 0.000, 0.500], [0.500, 0.500, 0.000], [0.500, 0.500, 0.500], [0.260, 0.260, 0.740], [0.260, 0.740, 0.260], [0.260, 0.740, 0.740], [0.740, 0.260, 0.260], [0.740, 0.260, 0.740], [0.740, 0.740, 0.260]]
}

(5)
{
  "formula": "KCdTc2",
  "functional": "PBE",
  "state": "relaxed",
  "delta_e_f_ev_per_atom": 0.64,
  "total_energy_ev_per_atom": -5.046,
  "lattice": [[4.107, -1.413, 0.000], [4.107, 1.413, 0.000], [-0.401, 0.000, 8.102]],
  "species": ["K", "Cd", "Tc", "Tc"],
  "fractional_positions": [[0.000, 0.000, 0.000], [0.762, 0.762, 0.344], [0.237, 0.237, 0.682], [0.492, 0.492, 0.567]]
}

(6)
{
  "formula": "Ac2NdSi2",
  "functional": "PBE",
  "state": "relaxed",
  "e_above_lowest_polymorph_mev_per_atom": 0.0,
  "raw_formation_energy_ev_per_atom": -0.5301,
  "total_energy_ev_per_atom": -5.296,
  "lattice": [[6.548, -2.290, 0.000], [6.548, 2.290, 0.000], [-5.274, 0.000, 10.162]],
  "species": ["Ac", "Ac", "Ac", "Ac", "Nd", "Nd", "Si", "Si", "Si", "Si"],
  "fractional_positions": [[0.015, 0.015, 0.190], [0.180, 0.180, 0.590], [0.820, 0.820, 0.410], [0.985, 0.985, 0.810], [0.272, 0.272, 0.130], [0.728, 0.728, 0.870], [0.394, 0.394, 0.950], [0.497, 0.497, 0.604], [0.503, 0.503, 0.396], [0.606, 0.606, 0.050]]
}